Record 1
This record from Alexandria via LeMat-Bulk describes a relaxed Na2CeHf2S6 crystal. The functional is PBE-GGA.

Output
Formation energy from raw total energies   -1586 meV per atom
Symmetry   C2/m, No. 12

a = 6.615 Å, b = 6.615 Å, c = 7.152 Å
α = 98.63°, β = 98.63°, γ = 120.74°
Last column: magnetic moment on the atom in μB.
Positions (direct):
Na  0.162  0.838  0.000  0.00
Na  0.838  0.162  0.000  0.00
S  0.287  0.287  0.280  -0.01
S  0.428  0.068  0.718  -0.01
S  0.572  0.932  0.282  -0.01
Ce  0.000  0.000  0.500  0.90
Hf  0.334  0.666  0.500  0.19
Hf  0.666  0.334  0.500  0.19
S  0.932  0.572  0.282  -0.01
S  0.068  0.428  0.718  -0.01
S  0.713  0.713  0.720  -0.01

Record 2
This record from Alexandria via LeMat-Bulk describes a relaxed CdPO4 crystal. The functional is PBE-GGA.

Output
Formation energy from raw total energies   -1538 meV per atom
Symmetry   I4_1/a, No. 88

a = 4.826 Å, b = 4.826 Å, c = 6.963 Å
α = 110.28°, β = 110.28°, γ = 90.00°
Last column: magnetic moment on the atom in μB.
Positions (direct):
Cd  0.625  0.375  0.750  0.01
O  0.182  0.325  0.387  0.22
O  0.818  0.675  0.613  0.22
O  0.062  0.182  0.887  0.22
P  0.125  0.875  0.750  -0.02
O  0.295  0.938  0.613  0.22
P  0.875  0.125  0.250  -0.02
Cd  0.375  0.625  0.250  0.01
O  0.705  0.062  0.387  0.22
O  0.938  0.818  0.113  0.22
O  0.325  0.705  0.887  0.22
O  0.675  0.295  0.113  0.22

Record 3
This record from Alexandria via LeMat-Bulk describes a relaxed CeNi2P3 crystal. The functional is PBE-GGA.

Output
Symmetry   Cmcm, No. 63
ΔH_f (0 K)   -0.79 eV per atom

a = 5.342 Å, b = 6.167 Å, c = 6.167 Å
α = 109.77°, β = 90.00°, γ = 90.00°
Last column: magnetic moment on the atom in μB.
Positions (direct):
Ni  0.000  0.182  0.182  0.01
P  0.250  0.779  0.525  0.00
Ni  0.000  0.818  0.818  0.01
Ce  0.250  0.284  0.716  0.25
P  0.750  0.221  0.475  0.00
Ni  0.500  0.818  0.818  0.01
P  0.750  0.525  0.779  0.00
Ce  0.750  0.716  0.284  0.25
P  0.250  0.475  0.221  0.00
P  0.750  0.124  0.876  0.00
P  0.250  0.876  0.124  0.00
Ni  0.500  0.182  0.182  0.01

Record 4
This record from Alexandria via LeMat-Bulk describes a relaxed ZrCr5P3 crystal. The functional is PBE-GGA.

Output
Symmetry   P2_1/m, No. 11
ΔH_f (0 K)   -0.61 eV per atom

a = 3.647 Å, b = 6.913 Å, c = 9.331 Å
α = 80.04°, β = 90.00°, γ = 90.00°
Last column: magnetic moment on the atom in μB.
Positions (direct):
Cr  0.750  0.142  0.493  -0.78
Cr  0.750  0.314  0.723  1.46
Cr  0.750  0.917  0.083  0.12
Cr  0.250  0.858  0.507  -0.78
Cr  0.250  0.458  0.925  0.03
P  0.750  0.440  0.323  -0.02
P  0.250  0.089  0.667  -0.01
Cr  0.750  0.626  0.509  0.57
Zr  0.750  0.807  0.779  -0.04
P  0.250  0.560  0.677  -0.02
P  0.750  0.248  0.987  -0.02
Cr  0.250  0.686  0.277  1.46
P  0.250  0.752  0.013  -0.02
Cr  0.750  0.542  0.075  0.03
P  0.750  0.911  0.333  -0.01
Cr  0.250  0.083  0.917  0.12
Zr  0.250  0.193  0.221  -0.04
Cr  0.250  0.374  0.491  0.57

Record 5
This record from Alexandria via LeMat-Bulk describes a relaxed K4U3O10 crystal. The functional is PBE-GGA.

Output
Formation energy from raw total energies   -2807 meV per atom
Symmetry   I4/mmm, No. 139

a = 4.334 Å, b = 4.334 Å, c = 15.717 Å
α = 97.93°, β = 97.93°, γ = 90.00°
Last column: magnetic moment on the atom in μB.
Positions (direct):
O  0.930  0.930  0.860  -0.03
O  0.204  0.204  0.408  -0.02
O  0.000  0.500  0.000  -0.04
U  0.140  0.140  0.280  0.55
O  0.861  0.361  0.723  -0.02
U  0.000  0.000  0.000  1.05
O  0.500  0.000  0.000  -0.04
O  0.796  0.796  0.592  -0.02
U  0.860  0.860  0.720  0.55
O  0.639  0.139  0.277  -0.02
O  0.070  0.070  0.140  -0.03
O  0.361  0.861  0.723  -0.02
K  0.571  0.571  0.141  0.00
K  0.292  0.292  0.584  0.00
K  0.429  0.429  0.859  0.00
K  0.708  0.708  0.416  0.00
O  0.139  0.639  0.277  -0.02

Record 6
This record from Alexandria via LeMat-Bulk describes a relaxed Dy5Er3Tm2 crystal. The functional is PBE-GGA.

Output
Symmetry   Ibam, No. 72
ΔH_f (0 K)   0.36 eV per atom

a = 6.202 Å, b = 10.951 Å, c = 10.951 Å
α = 99.82°, β = 73.55°, γ = 73.55°
Positions (direct):
Er  0.660  0.590  0.091
Dy  0.501  0.249  0.249
Dy  0.100  0.557  0.243
Dy  0.999  0.751  0.751
Tm  0.903  0.254  0.941
Dy  0.001  0.249  0.249
Er  0.250  0.000  0.000
Dy  0.600  0.243  0.557
Dy  0.499  0.751  0.751
Dy  0.750  0.500  0.500
Tm  0.403  0.941  0.254
Er  0.840  0.909  0.410
Tm  0.597  0.059  0.746
Dy  0.900  0.443  0.757
Er  0.160  0.091  0.590
Dy  0.250  0.500  0.500
Er  0.750  0.000  0.000
Er  0.340  0.410  0.909
Tm  0.097  0.746  0.059
Dy  0.400  0.757  0.443

Record 7
This record from Alexandria via LeMat-Bulk describes a relaxed TaMnAs crystal. The functional is PBE-GGA.

Output
Symmetry   F-43m, No. 216
ΔH_f (0 K)   -0.18 eV per atom

a = 4.095 Å, b = 4.095 Å, c = 4.095 Å
α = 60.00°, β = 60.00°, γ = 60.00°
Last column: magnetic moment on the atom in μB.
Positions (direct):
As  0.500  0.500  0.500  0.01
Mn  0.750  0.750  0.750  1.15
Ta  0.000  0.000  0.000  -0.20

Record 8
This record from Alexandria via LeMat-Bulk describes a relaxed ThInNiIr crystal. The functional is PBE-GGA.

Output
Symmetry   F-43m, No. 216
ΔH_f (0 K)   -0.42 eV per atom

a = 4.824 Å, b = 4.824 Å, c = 4.824 Å
α = 60.00°, β = 60.00°, γ = 60.00°
Positions (direct):
In  0.000  0.000  0.000
Ir  0.750  0.750  0.750
Ni  0.250  0.250  0.250
Th  0.500  0.500  0.500

Density of states at the Fermi level (states/eV/cell)
9.83, 6.71, 10.64, 17.35, 9.55, 30.50, 2.00, 2.95
VASP energy (eV/atom)
-6.426, -5.898, -6.415, -8.706, -7.974, -4.202, -8.735, -6.623
Total moment (μB per atom)
0.150, 0.171, 0.048, 0.153, 0.118, 0.000, 0.330, 0.000